Material: Zr4ZnCo3
Method: DFT, PBE
State: optimized geometry Values from VASP.

Results
For the energy of formation, the calculation gives -0.295 eV per atom. Its symmetry is Pmm2, No. 25. The uncorrected energy comes out at -7.39 eV per atom.

Structure (Quantum ESPRESSO input):
```
&SYSTEM
  ibrav = 0, nat = 8, ntyp = 3
/
ATOMIC_SPECIES
Zr 91.22 Zr.upf
Co 58.93 Co.upf
Zn 65.41 Zn.upf
ATOMIC_POSITIONS crystal
Zr 0.0000 0.5000 0.8464
Co 0.0000 0.0000 0.4165
Zr 0.5000 0.5000 0.3719
Co 0.0000 0.5000 0.5838
Co 0.5000 0.0000 0.9161
Zn 0.5000 0.5000 0.0748
Zr 0.0000 0.0000 0.1519
Zr 0.5000 0.0000 0.6386
CELL_PARAMETERS angstrom
3.3216 0.0000 0.0000
0.0000 4.1436 0.0000
0.0000 0.0000 9.9212
```

Material: Zr8ZnCo2
Method: DFT, PBE
State: optimized geometry Values from VASP.

Results
For the energy of formation, the calculation gives -0.132 eV per atom. Its symmetry is C2/m, No. 12. The uncorrected energy comes out at -7.76 eV per atom.

Structure (Quantum ESPRESSO input):
```
&SYSTEM
  ibrav = 0, nat = 11, ntyp = 3
/
ATOMIC_SPECIES
Zr 91.22 Zr.upf
Co 58.93 Co.upf
Zn 65.41 Zn.upf
ATOMIC_POSITIONS crystal
Zr 0.5909 0.7341 0.1818
Zr 0.9618 0.6715 0.9237
Co 0.2060 0.6812 0.4120
Zr 0.8075 0.9429 0.6150
Co 0.7940 0.3188 0.5880
Zr 0.4091 0.2659 0.8182
Zr 0.3271 0.6165 0.6542
Zr 0.1925 0.0571 0.3850
Zr 0.6729 0.3835 0.3458
Zn 0.5000 0.0000 0.0000
Zr 0.0382 0.3285 0.0763
CELL_PARAMETERS angstrom
4.5595 0.0000 -0.8729
-0.4940 5.6116 -2.5802
-0.5717 -1.0664 9.3577
```